DFT (meta-GGA SCAN) results for a crystal of Al2SbSe relaxed with PBEsol.

Summary:
* E above lowest polymorph: 0.000 eV/atom
* raw total energy: -1.35393 Ry/atom
* D(E_F): 0.27 states/eV per atom
* magnetic moment: 0.000 μB per formula unit

Cell: 3.920 3.920 6.807 Å, 73.26 73.26 60.00°
Fractional positions:
Se 0.500 0.500 0.500
Al 0.751 0.751 0.747
Al 0.249 0.249 0.253
Sb 0.000 0.000 0.000